TlBi4Pb7: optimized geometry, PBE.

```
12
Lattice="7.537 -2.984 0.000 7.537 2.984 0.000 -6.741 0.000 9.506" Properties=species:S:1:pos:R:3 pbc="T T T"
Tl 0.000 0.000 0.000
Bi -2.222 0.000 7.438
Bi 1.387 0.000 6.160
Bi 6.946 0.000 3.346
Bi 10.555 0.000 2.068
Pb -1.838 0.000 4.036
Pb 1.400 0.000 2.909
Pb 4.399 0.000 1.327
Pb 7.537 0.000 0.000
Pb 3.934 0.000 8.180
Pb 6.934 0.000 6.597
Pb 10.171 0.000 5.470
```

Fermi-level density of states	5.83	states/eV/f.u.
energy relative to the lowest polymorph listed for this composition	94	meV per atom

=====

Tl3Bi2Pb7: optimized geometry, PBE.

```
12
Lattice="5.300 0.000 0.000 0.000 4.384 0.000 -2.473 0.000 17.720" Properties=species:S:1:pos:R:3 pbc="T T T"
Tl 0.000 0.000 0.000
Tl 0.148 2.192 11.329
Tl 2.678 2.192 6.391
Bi 0.020 0.000 4.910
Bi 2.806 0.000 12.810
Pb 0.021 2.192 2.522
Pb 0.089 0.000 8.053
Pb 0.159 0.000 14.834
Pb 2.650 2.192 0.000
Pb 2.668 0.000 2.886
Pb 2.737 0.000 9.667
Pb 2.806 2.192 15.198
```

Fermi-level density of states	5.09	states/eV/f.u.
energy relative to the lowest polymorph listed for this composition	35	meV per atom

=====

Tl2BiPb: optimized geometry, PBE.

```
4
Lattice="3.546 0.000 0.000 0.000 3.546 0.000 0.000 0.000 9.983" Properties=species:S:1:pos:R:3 pbc="T T T"
Tl 0.000 0.000 2.486
Tl 0.000 0.000 7.497
Bi 1.773 1.773 0.000
Pb 1.773 1.773 4.992
```

Fermi-level density of states	1.01	states/eV/f.u.
energy relative to the lowest polymorph listed for this composition	20	meV per atom

=====

Tl3BiPb4: optimized geometry, PBE.

```
8
Lattice="-3.354 5.676 3.377 3.354 -5.676 3.377 3.354 5.676 -3.377" Properties=species:S:1:pos:R:3 pbc="T T T"
Tl 0.000 0.000 0.000
Tl 3.354 2.934 1.583
Tl 0.000 2.742 4.960
Bi 3.354 0.000 0.104
Pb 1.665 5.676 -0.164
Pb 1.689 0.000 3.213
Pb 0.000 3.066 1.554
Pb 0.000 8.286 1.554
```

Fermi-level density of states	4.67	states/eV/f.u.
energy relative to the lowest polymorph listed for this composition	60	meV per atom

=====

Tl12Bi5Pb3: optimized geometry, PBE.

```
80
Lattice="-9.231 9.231 9.231 9.231 -9.231 9.231 9.231 9.231 -9.231" Properties=species:S:1:pos:R:3 pbc="T T T"
Tl 2.812 -0.324 1.467
Tl 11.035 6.082 -4.939
Tl 8.907 -1.467 2.812
Tl 14.170 -1.804 3.149
Tl 12.042 0.324 1.467
Tl 11.035 -3.149 4.939
Tl 1.467 2.812 -0.324
Tl 12.379 4.291 -1.804
Tl 6.082 4.939 -1.804
Tl 7.764 2.812 0.324
Tl -0.324 1.467 2.812
Tl 4.939 -1.804 6.082
Tl 8.907 7.764 -2.812
Tl 4.939 1.804 3.149
Tl 7.764 -2.812 8.907
Tl 6.082 -4.939 11.035
Tl 3.149 4.939 1.804
Tl 10.698 6.419 0.324
Tl 2.812 8.907 -1.467
Tl 11.035 3.149 4.291
Tl 4.939 11.035 -3.149
Tl 8.907 1.467 6.419
Tl 1.804 3.149 4.939
Tl 2.812 0.324 7.764
Tl 6.419 8.907 1.467
Tl 7.427 6.082 4.291
Tl 0.324 7.764 2.812
Tl 4.291 -1.804 12.379
Tl -1.804 6.082 4.939
Tl 6.419 0.324 10.698
Tl -1.467 2.812 8.907
Tl 6.082 4.291 7.427
Tl 3.149 14.170 -1.804
Tl 1.467 12.042 0.324
Tl 4.291 7.427 6.082
Tl 0.324 1.467 12.042
Tl 4.291 11.035 3.149
Tl 9.555 7.764 6.419
Tl 1.467 6.419 8.907
Tl 3.149 4.291 11.035
Tl -3.149 4.939 11.035
Tl 7.764 6.419 9.555
Tl -1.804 12.379 4.291
Tl -2.812 8.907 7.764
Tl -4.939 11.035 6.082
Tl 0.324 10.698 6.419
Tl -1.804 3.149 14.170
Tl 6.419 9.555 7.764
Bi 0.000 0.000 0.000
Bi 4.615 4.615 -4.615
Bi 4.615 -4.615 4.615
Bi 9.231 0.000 0.000
Bi 13.846 2.308 0.000
Bi 9.231 -4.615 6.923
Bi 6.923 9.231 -4.615
Bi 6.923 0.000 4.615
Bi 4.615 6.923 0.000
Bi 9.231 4.615 2.308
Bi -4.615 4.615 4.615
Bi 0.000 9.231 0.000
Bi 0.000 0.000 9.231
Bi 4.615 4.615 4.615
Bi 0.000 4.615 6.923
Bi 4.615 2.308 9.231
Bi 2.308 9.231 4.615
Bi 2.308 0.000 13.846
Bi 0.000 13.846 2.308
Bi -4.615 6.923 9.231
Pb 4.615 2.308 0.000
Pb 9.231 4.615 -2.308
Pb 2.308 0.000 4.615
Pb 11.538 0.000 4.615
Pb 0.000 4.615 2.308
Pb 4.615 -2.308 9.231
Pb 4.615 11.538 0.000
Pb 9.231 4.615 6.923
Pb -2.308 9.231 4.615
Pb 6.923 9.231 4.615
Pb 0.000 4.615 11.538
Pb 4.615 6.923 9.231
```

Fermi-level density of states	11.71	states/eV/f.u.

=====

Tl3Bi2Pb4: optimized geometry, PBE.

```
9
Lattice="5.061 0.000 0.000 2.494 5.481 0.000 0.005 2.874 10.292" Properties=species:S:1:pos:R:3 pbc="T T T"
Tl 0.000 0.000 0.000
Tl 2.523 3.143 4.579
Tl 5.037 5.212 5.714
Bi 2.521 4.111 8.064
Bi 5.039 4.244 2.228
Pb 5.072 0.973 3.409
Pb 2.489 7.382 6.883
Pb 2.518 2.111 1.159
Pb 5.042 6.245 9.133
```

Fermi-level density of states	4.64	states/eV/f.u.
energy relative to the lowest polymorph listed for this composition	0	meV per atom

=====

Tl2BiPb6: optimized geometry, PBE.

```
18
Lattice="6.224 -7.292 0.000 6.224 7.292 0.000 -1.241 0.000 6.372" Properties=species:S:1:pos:R:3 pbc="T T T"
Tl 1.109 0.188 2.440
Tl 0.488 -0.188 5.626
Tl 10.719 0.188 0.746
Tl 10.099 -0.188 3.932
Bi 5.294 1.351 4.779
Bi 5.914 -1.351 1.593
Pb 2.195 2.604 4.498
Pb 4.522 4.297 6.308
Pb 6.065 4.297 3.251
Pb 4.139 1.554 1.532
Pb 2.815 -2.604 1.312
Pb 3.518 -1.554 4.719
Pb 7.689 1.554 1.654
Pb 8.393 2.604 5.061
Pb 7.069 -1.554 4.840
Pb 5.142 -4.297 3.121
Pb 6.686 -4.297 0.065
Pb 9.013 -2.604 1.874
```

Fermi-level density of states	4.97	states/eV/f.u.
energy relative to the lowest polymorph listed for this composition	32	meV per atom

=====

Tl14BiPb: optimized geometry, PBE.

```
16
Lattice="11.329 0.000 0.000 0.000 3.528 6.215 0.000 -3.528 6.215" Properties=species:S:1:pos:R:3 pbc="T T T"
Tl 0.000 0.000 0.000
Tl 0.000 -1.762 9.298
Tl 0.000 0.000 6.206
Tl 0.000 1.762 9.298
Tl 2.783 0.000 10.408
Tl 2.823 0.000 4.194
Tl 2.869 -1.761 7.282
Tl 2.869 1.761 7.282
Tl 5.664 -1.780 5.279
Tl 5.664 1.780 5.279
Tl 8.460 -1.761 7.282
Tl 8.460 1.761 7.282
Tl 8.506 0.000 4.194
Tl 8.546 0.000 10.408
Bi 5.664 0.000 2.226
Pb 5.664 0.000 8.456
```

Fermi-level density of states	5.65	states/eV/f.u.

=====

TlBiPb: optimized geometry, PBE.

```
6
Lattice="-2.870 3.417 4.945 2.870 -3.417 4.945 2.870 3.417 -4.945" Properties=species:S:1:pos:R:3 pbc="T T T"
Tl 0.000 1.702 0.000
Tl 0.000 5.133 0.000
Bi 0.000 0.000 3.333
Bi 0.000 0.000 6.557
Pb 2.870 0.000 1.714
Pb 0.000 3.417 3.231
```

Fermi-level density of states	1.29	states/eV/f.u.
energy relative to the lowest polymorph listed for this composition	14	meV per atom

=====

Tl2BiPb: optimized geometry, PBE.

```
8
Lattice="-3.584 3.584 6.645 3.584 -3.584 6.645 3.584 3.584 -6.645" Properties=species:S:1:pos:R:3 pbc="T T T"
Tl 5.376 1.787 -1.661
Tl 1.787 1.792 1.661
Tl -1.792 1.796 4.984
Tl 1.796 1.792 8.306
Bi 0.000 0.000 0.000
Bi 0.000 3.584 3.322
Pb 3.584 0.000 3.322
Pb 0.000 0.000 6.645
```

Fermi-level density of states	1.90	states/eV/f.u.
energy relative to the lowest polymorph listed for this composition	284	meV per atom

=====

TlZnBiPb: optimized geometry, PBE.

```
4
Lattice="0.000 3.891 3.891 3.891 0.000 3.891 3.891 3.891 0.000" Properties=species:S:1:pos:R:3 pbc="T T T"
Tl 0.000 0.000 0.000
Zn 5.836 5.836 5.836
Bi 1.945 1.945 1.945
Pb 3.891 3.891 3.891
```

Fermi-level density of states	4.26	states/eV/f.u.

=====

Tm7BiPb5: optimized geometry, PBE.

```
13
Lattice="-3.168 5.712 5.280 3.168 -5.712 5.280 3.168 5.712 -5.280" Properties=species:S:1:pos:R:3 pbc="T T T"
Tm 0.000 0.000 0.000
Tm 3.168 1.886 1.147
Tm 0.000 0.000 4.121
Tm 0.000 3.871 1.013
Tm 0.000 7.554 1.013
Tm 0.000 5.712 3.702
Tm 0.000 3.826 6.427
Bi 0.000 0.000 7.168
Pb 1.596 2.763 -1.546
Pb 4.741 2.763 -1.546
Pb 3.168 0.000 3.690
Pb -1.573 2.949 3.733
Pb 1.573 2.949 3.733
```

Fermi-level density of states	8.69	states/eV/f.u.

=====

| no. | formation energy from the elements (eV per atom) |
| --- | --- |
| 1 | 0.102 |
| 2 | 0.071 |
| 3 | 0.006 |
| 4 | 0.057 |
| 5 | 0.184 |
| 6 | -0.002 |
| 7 | 0.056 |
| 8 | -0.001 |
| 9 | -0.018 |
| 10 | 0.270 |
| 11 | 0.143 |
| 12 | -0.258 |